VASP calculation (GGA-PBE) on a geometry-optimized PrNdZn structure.

Cell: 7.2419 7.2419 7.2419 Å, 90.00 90.00 90.00°
Space group F-43m (No. 216)
Asymmetric unit:
Pr  0.0000  0.0000  0.0000
Nd  0.0000  0.0000  0.5000
Zn  0.2500  0.2500  0.7500

Computed properties:
Size of the total moment, μB per formula unit: 0.000
Calculated formation energy, eV/atom: 0.0340